Record 1
Entry from the Alexandria database: a relaxed Nb3ReMo crystal (GGA-PBE).

a b c (Å): 4.568 4.562 8.450
angles (deg): 90.00 105.75 90.00
Positions (direct):
Nb1 0.567 0.345 0.416
Nb2 0.763 0.344 0.808
Nb3 0.067 0.845 0.416
Nb4 0.959 0.345 0.199
Nb5 0.459 0.845 0.199
Nb6 0.263 0.844 0.807
Re1 0.362 0.344 0.007
Re2 0.663 0.844 0.608
Mo1 0.862 0.844 0.007
Mo2 0.163 0.344 0.608

Output
Energy above the most stable polymorph in this dataset in meV/atom: 0
Final energy in eV per atom: -10.924


Record 2
Entry from the Alexandria database: a relaxed CrRh3 crystal (GGA-PBE).

a b c (Å): 5.414 4.266 4.698
angles (deg): 90.00 90.00 90.00
Site moments in Bohr magnetons follow the coordinates.
Positions (direct):
Cr1 0.000 0.000 0.670  0.75
Cr2 0.500 0.500 0.330  0.75
Rh1 0.000 0.500 0.342  -0.12
Rh2 0.248 0.000 0.170  -0.14
Rh3 0.252 0.500 0.830  -0.14
Rh4 0.500 0.000 0.658  -0.12
Rh5 0.752 0.000 0.170  -0.14
Rh6 0.748 0.500 0.830  -0.14

Output
Final energy in eV per atom: -8.024


Record 3
Entry from the Alexandria database: a relaxed CsInP2S crystal (GGA-PBE).

a b c (Å): 5.257 5.257 5.380
angles (deg): 90.00 90.00 90.00
Site moments in Bohr magnetons follow the coordinates.
Positions (direct):
Cs1 0.500 0.500 0.500  0.02
P1 0.000 0.500 0.000  0.39
P2 0.500 0.000 0.000  0.39
S1 0.000 0.000 0.500  0.16
In1 0.000 0.000 0.000  -0.02

Output
Energy above the most stable polymorph in this dataset in meV/atom: 0
Formation energy from raw total energies in eV per formula unit: 1.92
Final energy in eV per atom: -3.324


Which formula does entry 3 have?
CsInP2S